Density functional theory data (PBE) for a relaxed GeB crystal.

Cell lengths 3.550, 3.136, 5.013 Å; angles 90.00, 97.60, 90.00 degrees
Space group P2_1/m (No. 11)
Inequivalent atoms, fractional coordinates:
1 Ge 0.010 0.250 0.209 x2
2 B 0.440 0.750 0.555 x2

Properties
DFT total energy, eV/atom: -5.27
Crystal system: monoclinic
Calculated volume, A^3/atom: 13.830
E above lowest polymorph, meV/atom: 1.2
Calculated formation energy, kJ per mole of atoms: 36.6